The following is a PBE calculation of a relaxed LaDy6Ho12 crystal, from the Alexandria database.

a = 9.3045 Å, b = 9.3045 Å, c = 9.3045 Å
α = 108.12°, β = 108.12°, γ = 108.12°
Closest atoms and distances in Å follow each position.
Positions (direct):
La: 0.0000 0.0000 0.0000  6 Ho 3.54
Dy: 0.2544 0.6847 0.6847  3 Ho 3.01-3.26
Dy: 0.3153 0.3153 0.7456  3 Ho 3.01-3.26
Dy: 0.3153 0.7456 0.3153  3 Ho 3.01-3.26
Dy: 0.6847 0.2544 0.6847  3 Ho 3.01-3.26
Dy: 0.6847 0.6847 0.2544  3 Ho 3.01-3.26
Dy: 0.7456 0.3153 0.3153  3 Ho 3.01-3.26
Ho: 0.1099 0.5000 0.8901  4 Dy 3.26-3.39, 3 Ho 3.31-3.62
Ho: 0.1099 0.8901 0.5000  4 Dy 3.26-3.39, 3 Ho 3.31-3.62
Ho: 0.1609 0.3749 0.3749  1 Dy 3.01, 2 Ho 3.22
Ho: 0.3749 0.1609 0.3749  1 Dy 3.01, 2 Ho 3.22
Ho: 0.3749 0.3749 0.1609  1 Dy 3.01, 2 Ho 3.22
Ho: 0.5000 0.1099 0.8901  4 Dy 3.26-3.39, 3 Ho 3.31-3.62
Ho: 0.5000 0.8901 0.1099  4 Dy 3.26-3.39, 3 Ho 3.31-3.62
Ho: 0.6251 0.6251 0.8391  1 Dy 3.01, 2 Ho 3.22
Ho: 0.6251 0.8391 0.6251  1 Dy 3.01, 2 Ho 3.22
Ho: 0.8391 0.6251 0.6251  1 Dy 3.01, 2 Ho 3.22
Ho: 0.8901 0.1099 0.5000  4 Dy 3.26-3.39, 3 Ho 3.31-3.62
Ho: 0.8901 0.5000 0.1099  4 Dy 3.26-3.39, 3 Ho 3.31-3.62

M_tot ... 0.00 μB/f.u.
Energy of formation ... 0.429 eV per atom


The following is a PBE calculation of a relaxed LaDy3Ho2 crystal, from the Alexandria database.

a = 9.4865 Å, b = 9.4865 Å, c = 11.5919 Å
α = 90.00°, β = 90.00°, γ = 158.18°
Closest atoms and distances in Å follow each position.
Positions (direct):
La: 0.2211 0.7789 0.7500  8 Dy 3.56-3.66, 2 La 3.59, 2 Ho 3.59
La: 0.7789 0.2211 0.2500  8 Dy 3.56-3.66, 2 La 3.59, 2 Ho 3.59
Dy: 0.1078 0.8922 0.2500  4 Ho 3.51-3.53, 6 Dy 3.54-3.59, 2 La 3.66
Dy: 0.3351 0.6649 0.5037  6 Dy 3.54-3.65, 3 La 3.56-3.60, 3 Ho 3.56-3.59
Dy: 0.3351 0.6649 0.9963  6 Dy 3.54-3.65, 3 La 3.56-3.60, 3 Ho 3.56-3.59
Dy: 0.6649 0.3351 0.0037  6 Dy 3.54-3.65, 3 La 3.56-3.60, 3 Ho 3.56-3.59
Dy: 0.6649 0.3351 0.4963  6 Dy 3.54-3.65, 3 La 3.56-3.60, 3 Ho 3.56-3.59
Dy: 0.8922 0.1078 0.7500  4 Ho 3.51-3.53, 6 Dy 3.54-3.59, 2 La 3.66
Ho: 0.0000 0.0000 0.0000  6 Dy 3.53-3.56, 6 Ho 3.55-3.59
Ho: 0.0000 0.0000 0.5000  6 Dy 3.53-3.56, 6 Ho 3.55-3.59
Ho: 0.4460 0.5540 0.2500  4 Dy 3.51-3.59, 6 Ho 3.55-3.59, 2 La 3.59
Ho: 0.5540 0.4460 0.7500  4 Dy 3.51-3.59, 6 Ho 3.55-3.59, 2 La 3.59

M_tot ... 0.00 μB/f.u.
Energy of formation ... 0.021 eV per atom


The following is a PBE calculation of a relaxed La2DyHo crystal, from the Alexandria database.

a = 5.7985 Å, b = 5.7985 Å, c = 5.7985 Å
α = 60.00°, β = 60.00°, γ = 60.00°
Closest atoms and distances in Å follow each position.
Positions (direct):
La: 0.2500 0.2500 0.2500  4 Ho 3.55, 4 Dy 3.55
La: 0.7500 0.7500 0.7500  4 Ho 3.55, 4 Dy 3.55
Dy: 0.0000 0.0000 0.0000  8 La 3.55
Ho: 0.5000 0.5000 0.5000  8 La 3.55

M_tot ... 0.01 μB/f.u.
Energy of formation ... 0.085 eV per atom


The following is a PBE calculation of a relaxed La2Dy4Ho crystal, from the Alexandria database.

a = 9.5527 Å, b = 9.5527 Å, c = 9.5527 Å
α = 146.23°, β = 146.23°, γ = 48.50°
Closest atoms and distances in Å follow each position.
Positions (direct):
La: 0.1260 0.1260 0.0000  5 Dy 3.47-3.54
La: 0.8740 0.8740 0.0000  5 Dy 3.47-3.54
Dy: 0.0000 0.5000 0.5000  2 Ho 2.77
Dy: 0.3251 0.3251 0.0000  1 Ho 3.05
Dy: 0.5000 0.0000 0.5000  2 Ho 2.77
Dy: 0.6749 0.6749 0.0000  1 Ho 3.05
Ho: 0.5000 0.5000 0.0000  6 Dy 2.77-3.05

M_tot ... 0.33 μB/f.u.
Energy of formation ... 0.631 eV per atom


The following is a PBE calculation of a relaxed LaDy3Ho6 crystal, from the Alexandria database.

a = 11.0047 Å, b = 11.0047 Å, c = 6.2332 Å
α = 90.00°, β = 90.00°, γ = 121.54°
Closest atoms and distances in Å follow each position.
Positions (direct):
La: 0.2104 0.7896 0.5000  3 Dy 3.21-3.45, 6 Ho 3.25-3.59
La: 0.7896 0.2104 0.0000  3 Dy 3.21-3.45, 6 Ho 3.25-3.59
Dy: 0.0771 0.2911 0.2511  1 La 3.21, 3 Ho 3.26-3.44, 1 Dy 3.52
Dy: 0.2911 0.0771 0.7511  1 La 3.21, 3 Ho 3.26-3.44, 1 Dy 3.52
Dy: 0.3869 0.6131 0.3973  5 Ho 3.24-3.60, 1 La 3.45, 2 Dy 3.52
Dy: 0.6131 0.3869 0.8973  5 Ho 3.24-3.60, 1 La 3.45, 2 Dy 3.52
Dy: 0.7089 0.9229 0.2511  1 La 3.21, 3 Ho 3.26-3.44, 1 Dy 3.52
Dy: 0.9229 0.7089 0.7511  1 La 3.21, 3 Ho 3.26-3.44, 1 Dy 3.52
Ho: 0.0153 0.4391 0.6559  2 La 3.25-3.43, 1 Dy 3.26, 5 Ho 3.39-3.50
Ho: 0.0488 0.9512 0.2113  6 Ho 3.58-3.99, 1 La 3.59, 4 Dy 3.60-3.66
Ho: 0.2843 0.3744 0.7982  4 Dy 3.32-3.60, 6 Ho 3.43-3.67
Ho: 0.3108 0.6892 0.9326  1 Dy 3.24, 1 La 3.32, 6 Ho 3.39-3.43
Ho: 0.3744 0.2843 0.2982  4 Dy 3.32-3.60, 6 Ho 3.43-3.67
Ho: 0.4391 0.0153 0.1559  2 La 3.25-3.43, 1 Dy 3.26, 5 Ho 3.39-3.50
Ho: 0.5609 0.9847 0.6559  2 La 3.25-3.43, 1 Dy 3.26, 5 Ho 3.39-3.50
Ho: 0.6256 0.7157 0.7982  4 Dy 3.32-3.60, 6 Ho 3.43-3.67
Ho: 0.6892 0.3108 0.4326  1 Dy 3.24, 1 La 3.32, 6 Ho 3.39-3.43
Ho: 0.7157 0.6256 0.2982  4 Dy 3.32-3.60, 6 Ho 3.43-3.67
Ho: 0.9512 0.0488 0.7113  6 Ho 3.58-3.99, 1 La 3.59, 4 Dy 3.60-3.66
Ho: 0.9847 0.5609 0.1559  2 La 3.25-3.43, 1 Dy 3.26, 5 Ho 3.39-3.50

M_tot ... 0.00 μB/f.u.
Energy of formation ... 0.149 eV per atom


The following is a PBE calculation of a relaxed La6Dy12Ho crystal, from the Alexandria database.

a = 8.8156 Å, b = 8.8156 Å, c = 8.8156 Å
α = 98.79°, β = 98.79°, γ = 98.79°
Closest atoms and distances in Å follow each position.
Positions (direct):
La: 0.1551 0.5945 0.5945  1 La 3.06
La: 0.4055 0.4055 0.8449  1 La 3.06
La: 0.4055 0.8449 0.4055  1 La 3.06
La: 0.5945 0.1551 0.5945  1 La 3.06
La: 0.5945 0.5945 0.1551  1 La 3.06
La: 0.8449 0.4055 0.4055  1 La 3.06
Dy: 0.0000 0.2545 0.7455  6 Dy 3.39-3.56, 4 La 3.54-3.63
Dy: 0.0000 0.7455 0.2545  6 Dy 3.39-3.56, 4 La 3.54-3.63
Dy: 0.1452 0.1452 0.4196  6 Dy 3.39-3.67, 2 La 3.76
Dy: 0.1452 0.4196 0.1452  6 Dy 3.39-3.67, 2 La 3.76
Dy: 0.2545 0.0000 0.7455  6 Dy 3.39-3.56, 4 La 3.54-3.63
Dy: 0.2545 0.7455 0.0000  6 Dy 3.39-3.56, 4 La 3.54-3.63
Dy: 0.4196 0.1452 0.1452  6 Dy 3.39-3.67, 2 La 3.76
Dy: 0.5804 0.8548 0.8548  6 Dy 3.39-3.67, 2 La 3.76
Dy: 0.7455 0.0000 0.2545  6 Dy 3.39-3.56, 4 La 3.54-3.63
Dy: 0.7455 0.2545 0.0000  6 Dy 3.39-3.56, 4 La 3.54-3.63
Dy: 0.8548 0.5804 0.8548  6 Dy 3.39-3.67, 2 La 3.76
Dy: 0.8548 0.8548 0.5804  6 Dy 3.39-3.67, 2 La 3.76
Ho: 0.5000 0.5000 0.5000  6 La 3.46

M_tot ... 0.00 μB/f.u.
Energy of formation ... 0.218 eV per atom


Question: What is the energy of formation in the fourth record?
Answer: 0.631 eV per atom


Question: The highest energy of formation belongs to which entry?
Answer: La2Dy4Ho


Question: The highest energy of formation belongs to which entry?
Answer: La2Dy4Ho